CdHPd3 after structural relaxation. Source: Alexandria, functional PBE-GGA.

Geometry as extended XYZ:
```
10
Lattice="2.976 0.000 0.000 0.000 5.913 0.000 0.000 0.000 7.855" Properties=species:S:1:pos:R:3 pbc="T T T"
Cd 0.000 0.000 0.000
Cd 0.000 2.956 3.927
H 1.488 0.000 2.912
H 1.488 2.956 6.840
Pd 0.000 0.000 3.983
Pd 0.000 2.956 0.056
Pd 1.488 1.438 5.871
Pd 1.488 1.519 1.944
Pd 1.488 4.394 1.944
Pd 1.488 4.475 5.871
```

Summary:
Offset from the most stable computed form ... 40 meV/atom
Volume ... 138.2 Å³ per cell
VASP energy ... -4.216 eV/atom
Mass density ... 10.4 g cm⁻³
Density of states at the Fermi level ... 3.6 states/eV/cell